Entry 1:
# PBE Cr2HgW, relaxed
data_Cr2HgW
_chemical_formula_sum 'Cr4 Hg2 W2'
_cell_length_a 3.149
_cell_length_b 4.455
_cell_length_c 8.758
_cell_angle_alpha 90.00
_cell_angle_beta 90.00
_cell_angle_gamma 90.00
_space_group_name_H-M_alt 'C m m m'
_space_group_IT_number 65
_space_group_name_Hall '-C 2 2'
loop_
_atom_site_label
_atom_site_type_symbol
_atom_site_fract_x
_atom_site_fract_y
_atom_site_fract_z
Cr1 Cr 0.000 0.000 0.230
Hg1 Hg 0.000 0.500 0.500
W1 W 0.000 0.500 0.000
# ΔE_f   499 meV/atom

---

Entry 2:
# PBE CsCS2Cl, relaxed
data_CsCS2Cl
_chemical_formula_sum 'Cs1 C1 S2 Cl1'
_cell_length_a 5.525
_cell_length_b 5.525
_cell_length_c 6.257
_cell_angle_alpha 90.00
_cell_angle_beta 90.00
_cell_angle_gamma 90.00
_space_group_name_H-M_alt 'P 4/m m m'
_space_group_IT_number 123
_space_group_name_Hall '-P 4 2'
loop_
_atom_site_label
_atom_site_type_symbol
_atom_site_fract_x
_atom_site_fract_y
_atom_site_fract_z
Cs1 Cs 0.000 0.000 0.000
C1 C 0.500 0.500 0.500
S1 S 0.000 0.500 0.000
Cl1 Cl 0.000 0.000 0.500
# Relative energy among the computed polymorphs   9.09 eV per formula unit
# Uncorrected formation energy   11.865 eV per formula unit

---

Entry 3:
# PBE La4BiAs2, relaxed
data_La4BiAs2
_chemical_formula_sum 'La16 Bi4 As8'
_cell_length_a 4.436
_cell_length_b 14.281
_cell_length_c 14.684
_cell_angle_alpha 90.00
_cell_angle_beta 90.00
_cell_angle_gamma 90.00
_space_group_name_H-M_alt 'C m c m'
_space_group_IT_number 63
_space_group_name_Hall '-C 2c 2'
loop_
_atom_site_label
_atom_site_type_symbol
_atom_site_fract_x
_atom_site_fract_y
_atom_site_fract_z
La1 La 0.000 0.000 0.000
La2 La 0.000 0.268 0.117
La3 La 0.000 0.439 0.750
Bi1 Bi 0.000 0.107 0.750
As1 As 0.000 0.364 0.561
# ΔE_f   -1198 meV/atom

---

Entry 4:
# PBE Rb2YSnSe4, relaxed
data_Rb2YSnSe4
_chemical_formula_sum 'Rb2 Y1 Sn1 Se4'
_cell_length_a 7.425
_cell_length_b 4.226
_cell_length_c 8.354
_cell_angle_alpha 90.00
_cell_angle_beta 106.75
_cell_angle_gamma 90.00
_space_group_name_H-M_alt 'P 1 2/m 1'
_space_group_IT_number 10
_space_group_name_Hall '-P 2y'
loop_
_atom_site_label
_atom_site_type_symbol
_atom_site_fract_x
_atom_site_fract_y
_atom_site_fract_z
Rb1 Rb 0.000 0.000 0.000
Rb2 Rb 0.500 0.500 0.000
Y1 Y 0.000 0.500 0.500
Sn1 Sn 0.500 0.000 0.500
Se1 Se 0.231 0.000 0.695
Se2 Se 0.266 0.500 0.306
# Uncorrected formation energy   -9.761 eV per formula unit

---

Entry 5:
# PBE LiSb2TeSe, relaxed
data_LiSb2TeSe
_chemical_formula_sum 'Li1 Sb2 Te1 Se1'
_cell_length_a 5.207
_cell_length_b 5.207
_cell_length_c 4.697
_cell_angle_alpha 90.00
_cell_angle_beta 90.00
_cell_angle_gamma 90.00
_space_group_name_H-M_alt 'P 4/m m m'
_space_group_IT_number 123
_space_group_name_Hall '-P 4 2'
loop_
_atom_site_label
_atom_site_type_symbol
_atom_site_fract_x
_atom_site_fract_y
_atom_site_fract_z
Li1 Li 0.000 0.000 0.000
Sb1 Sb 0.000 0.500 0.000
Te1 Te 0.000 0.000 0.500
Se1 Se 0.500 0.500 0.500
# Relative energy among the computed polymorphs   0.07 eV per formula unit
# Uncorrected formation energy   1.926 eV per formula unit

---

Number 1: calculated density 13.20 g cm⁻³. Number 2: calculated density 2.13 g cm⁻³. Number 3: calculated density 6.53 g cm⁻³. Number 4: calculated density 4.59 g cm⁻³. Number 5: calculated density 5.96 g cm⁻³.